A geometry-optimized MnFeNO2 structure, computed with PBE with a Hubbard U.

The total DFT energy (no corrections) comes out at -6.4731 eV per atom.

Cell lengths 3.8098, 3.8098, 3.8150 Å; angles 90.00, 90.00, 90.00 degrees
Space group P4/mmm (No. 123)
Unique sites:
Mn: 0.0000 0.0000 0.0000 (multiplicity 1)
Fe: 0.5000 0.5000 0.5000 (multiplicity 1)
N: 0.5000 0.5000 0.0000 (multiplicity 1)
O: 0.0000 0.5000 0.5000 (multiplicity 2)